Entry 1:
First-principles (PBE) data for a geometry-optimized Ce2C structure, as listed in the Alexandria database.

Cell: 6.1122 3.5288 6.3889 Å, 90.00 90.20 90.00°
Fractional positions:
Ce 0.1659 0.0000 0.2761
Ce 0.3341 0.5000 0.7239
Ce 0.6659 0.5000 0.2761
Ce 0.8341 0.0000 0.7239
C 0.0000 0.5000 0.5000
C 0.5000 0.0000 0.5000

Calculated values
DFT formation energy, eV/atom: -0.12
Electronic total energy, eV/atom: -7.155


Entry 2:
First-principles (PBE) data for a geometry-optimized Re2SbMo structure, as listed in the Alexandria database.

Cell: 6.4069 6.4069 6.4069 Å, 90.00 90.00 90.00°
Fractional positions:
Re 0.0000 0.0000 0.0000
Re 0.0000 0.5000 0.5000
Re 0.2500 0.2500 0.2500
Re 0.2500 0.7500 0.7500
Re 0.5000 0.0000 0.5000
Re 0.5000 0.5000 0.0000
Re 0.7500 0.2500 0.7500
Re 0.7500 0.7500 0.2500
Sb 0.0000 0.0000 0.5000
Sb 0.0000 0.5000 0.0000
Sb 0.5000 0.0000 0.0000
Sb 0.5000 0.5000 0.5000
Mo 0.2500 0.2500 0.7500
Mo 0.2500 0.7500 0.2500
Mo 0.7500 0.2500 0.2500
Mo 0.7500 0.7500 0.7500

Calculated values
Raw formation energy, meV/atom: 521
Electronic total energy, eV/atom: -9.441


Entry 3:
First-principles (PBE) data for a geometry-optimized CaCl2 structure, as listed in the Alexandria database.

Cell: 3.5103 3.5103 13.4792 Å, 90.00 90.00 90.00°
Fractional positions:
Ca 0.0000 0.0000 0.0000
Ca 0.5000 0.5000 0.5000
Cl 0.0000 0.0000 0.3847
Cl 0.0000 0.0000 0.6153
Cl 0.5000 0.5000 0.1153
Cl 0.5000 0.5000 0.8847

Calculated values
Raw formation energy, meV/atom: -2152
Electronic total energy, eV/atom: -4.050